1.
# LaAlAu

An optimized crystal structure of LaAlAu (PBE, OQMD via LeMat-Bulk).

energy = -0.1657 Ha/atom

```
data_LaAlAu
_cell_length_a 6.8628
_cell_length_b 6.8628
_cell_length_c 6.8628
_cell_angle_alpha 90.00
_cell_angle_beta 90.00
_cell_angle_gamma 90.00
_space_group_name_H-M_alt 'F -4 3 m'
_space_group_IT_number 216
_space_group_name_Hall 'F -4 2 3'
loop_
_atom_site_label
_atom_site_type_symbol
_atom_site_fract_x
_atom_site_fract_y
_atom_site_fract_z
La1 La 0.0000 0.0000 0.0000
Al1 Al 0.0000 0.0000 0.5000
Au1 Au 0.2500 0.2500 0.7500
```


2.
# LiLaAlAu

An optimized crystal structure of LiLaAlAu (PBE, OQMD via LeMat-Bulk).

excess energy over the best structure of this formula in the dataset = 119 meV per atom

```
data_LiLaAlAu
_cell_length_a 7.1157
_cell_length_b 7.1157
_cell_length_c 7.1157
_cell_angle_alpha 90.00
_cell_angle_beta 90.00
_cell_angle_gamma 90.00
_space_group_name_H-M_alt 'F -4 3 m'
_space_group_IT_number 216
_space_group_name_Hall 'F -4 2 3'
loop_
_atom_site_label
_atom_site_type_symbol
_atom_site_fract_x
_atom_site_fract_y
_atom_site_fract_z
Li1 Li 0.0000 0.0000 0.0000
La1 La 0.0000 0.0000 0.5000
Al1 Al 0.2500 0.2500 0.7500
Au1 Au 0.2500 0.2500 0.2500
```


3.
# LiLaAlAu

An optimized crystal structure of LiLaAlAu (PBE, OQMD via LeMat-Bulk).

excess energy over the best structure of this formula in the dataset = 100 meV per atom

```
data_LiLaAlAu
_cell_length_a 6.8852
_cell_length_b 6.8852
_cell_length_c 6.8852
_cell_angle_alpha 90.00
_cell_angle_beta 90.00
_cell_angle_gamma 90.00
_space_group_name_H-M_alt 'F -4 3 m'
_space_group_IT_number 216
_space_group_name_Hall 'F -4 2 3'
loop_
_atom_site_label
_atom_site_type_symbol
_atom_site_fract_x
_atom_site_fract_y
_atom_site_fract_z
Li1 Li 0.0000 0.0000 0.0000
La1 La 0.2500 0.2500 0.7500
Al1 Al 0.0000 0.0000 0.5000
Au1 Au 0.2500 0.2500 0.2500
```


4.
# LiLaAlAu

An optimized crystal structure of LiLaAlAu (PBE, OQMD via LeMat-Bulk).

excess energy over the best structure of this formula in the dataset = 0 meV per atom

```
data_LiLaAlAu
_cell_length_a 6.9589
_cell_length_b 6.9589
_cell_length_c 6.9589
_cell_angle_alpha 90.00
_cell_angle_beta 90.00
_cell_angle_gamma 90.00
_space_group_name_H-M_alt 'F -4 3 m'
_space_group_IT_number 216
_space_group_name_Hall 'F -4 2 3'
loop_
_atom_site_label
_atom_site_type_symbol
_atom_site_fract_x
_atom_site_fract_y
_atom_site_fract_z
Li1 Li 0.0000 0.0000 0.0000
La1 La 0.2500 0.2500 0.7500
Al1 Al 0.2500 0.2500 0.2500
Au1 Au 0.0000 0.0000 0.5000
```


5.
# LaAl5NiAu

An optimized crystal structure of LaAl5NiAu (PBE, OQMD via LeMat-Bulk).

energy = -0.1697 Ha/atom

```
data_LaAl5NiAu
_cell_length_a 4.1041
_cell_length_b 7.2931
_cell_length_c 9.8469
_cell_angle_alpha 90.00
_cell_angle_beta 90.00
_cell_angle_gamma 90.00
_space_group_name_H-M_alt 'I m m 2'
_space_group_IT_number 44
loop_
_space_group_symop_operation_xyz
'x,y,z'
'-x,-y,z'
'-x,y,z'
'x,-y,z'
'x+1/2,y+1/2,z+1/2'
'-x+1/2,-y+1/2,z+1/2'
'-x+1/2,y+1/2,z+1/2'
'x+1/2,-y+1/2,z+1/2'
loop_
_atom_site_label
_atom_site_type_symbol
_atom_site_fract_x
_atom_site_fract_y
_atom_site_fract_z
La1 La 0.0000 0.0000 0.0000
Al1 Al 0.0000 0.1790 0.3389
Al2 Al 0.0000 0.2002 0.6414
Al3 Al 0.0000 0.5000 0.9842
Ni1 Ni 0.0000 0.5000 0.7508
Au1 Au 0.0000 0.5000 0.2376
```


6.
# LaAl2NiAu

An optimized crystal structure of LaAl2NiAu (PBE, OQMD via LeMat-Bulk).

energy = -0.1807 Ha/atom

```
data_LaAl2NiAu
_cell_length_a 4.3874
_cell_length_b 4.3874
_cell_length_c 10.1502
_cell_angle_alpha 90.00
_cell_angle_beta 90.00
_cell_angle_gamma 90.00
_space_group_name_H-M_alt 'P 4/n m m'
_space_group_IT_number 129
loop_
_space_group_symop_operation_xyz
'x,y,z'
'-x,-y,-z'
'-y+1/2,x,z'
'y+1/2,-x,-z'
'-x+1/2,-y+1/2,z'
'x+1/2,y+1/2,-z'
'y,-x+1/2,z'
'-y,x+1/2,-z'
'x+1/2,-y,-z'
'-x+1/2,y,z'
'-y,-x,-z'
'y,x,z'
'-x,y+1/2,-z'
'x,-y+1/2,z'
'y+1/2,x+1/2,-z'
'-y+1/2,-x+1/2,z'
loop_
_atom_site_label
_atom_site_type_symbol
_atom_site_fract_x
_atom_site_fract_y
_atom_site_fract_z
La1 La 0.2500 0.2500 0.2336
Al1 Al 0.2500 0.2500 0.8973
Al2 Al 0.2500 0.7500 0.5000
Ni1 Ni 0.2500 0.7500 0.0000
Au1 Au 0.2500 0.2500 0.6409
```


7.
# LaAl2PdAu

An optimized crystal structure of LaAl2PdAu (PBE, OQMD via LeMat-Bulk).

excess energy over the best structure of this formula in the dataset = 0 meV per atom

```
data_LaAl2PdAu
_cell_length_a 4.4483
_cell_length_b 4.4483
_cell_length_c 10.3643
_cell_angle_alpha 90.00
_cell_angle_beta 90.00
_cell_angle_gamma 90.00
_space_group_name_H-M_alt 'P 4/n m m'
_space_group_IT_number 129
loop_
_space_group_symop_operation_xyz
'x,y,z'
'-x,-y,-z'
'-y+1/2,x,z'
'y+1/2,-x,-z'
'-x+1/2,-y+1/2,z'
'x+1/2,y+1/2,-z'
'y,-x+1/2,z'
'-y,x+1/2,-z'
'x+1/2,-y,-z'
'-x+1/2,y,z'
'-y,-x,-z'
'y,x,z'
'-x,y+1/2,-z'
'x,-y+1/2,z'
'y+1/2,x+1/2,-z'
'-y+1/2,-x+1/2,z'
loop_
_atom_site_label
_atom_site_type_symbol
_atom_site_fract_x
_atom_site_fract_y
_atom_site_fract_z
La1 La 0.2500 0.2500 0.2473
Al1 Al 0.2500 0.2500 0.8830
Al2 Al 0.2500 0.7500 0.5000
Pd1 Pd 0.2500 0.7500 0.0000
Au1 Au 0.2500 0.2500 0.6353
```


8.
# LaAl2PdAu

An optimized crystal structure of LaAl2PdAu (PBE, OQMD via LeMat-Bulk).

excess energy over the best structure of this formula in the dataset = 29 meV per atom

```
data_LaAl2PdAu
_cell_length_a 4.4597
_cell_length_b 4.4597
_cell_length_c 10.3641
_cell_angle_alpha 90.00
_cell_angle_beta 90.00
_cell_angle_gamma 90.00
_space_group_name_H-M_alt 'P 4/n m m'
_space_group_IT_number 129
loop_
_space_group_symop_operation_xyz
'x,y,z'
'-x,-y,-z'
'-y+1/2,x,z'
'y+1/2,-x,-z'
'-x+1/2,-y+1/2,z'
'x+1/2,y+1/2,-z'
'y,-x+1/2,z'
'-y,x+1/2,-z'
'x+1/2,-y,-z'
'-x+1/2,y,z'
'-y,-x,-z'
'y,x,z'
'-x,y+1/2,-z'
'x,-y+1/2,z'
'y+1/2,x+1/2,-z'
'-y+1/2,-x+1/2,z'
loop_
_atom_site_label
_atom_site_type_symbol
_atom_site_fract_x
_atom_site_fract_y
_atom_site_fract_z
La1 La 0.2500 0.2500 0.2465
Al1 Al 0.2500 0.2500 0.6366
Al2 Al 0.2500 0.7500 0.0000
Pd1 Pd 0.2500 0.2500 0.8771
Au1 Au 0.2500 0.7500 0.5000
```


9.
# LaAl5PtAu

An optimized crystal structure of LaAl5PtAu (PBE, OQMD via LeMat-Bulk).

energy = -0.1775 Ha/atom

```
data_LaAl5PtAu
_cell_length_a 4.1692
_cell_length_b 7.3500
_cell_length_c 10.0018
_cell_angle_alpha 90.00
_cell_angle_beta 90.00
_cell_angle_gamma 90.00
_space_group_name_H-M_alt 'I m m 2'
_space_group_IT_number 44
loop_
_space_group_symop_operation_xyz
'x,y,z'
'-x,-y,z'
'-x,y,z'
'x,-y,z'
'x+1/2,y+1/2,z+1/2'
'-x+1/2,-y+1/2,z+1/2'
'-x+1/2,y+1/2,z+1/2'
'x+1/2,-y+1/2,z+1/2'
loop_
_atom_site_label
_atom_site_type_symbol
_atom_site_fract_x
_atom_site_fract_y
_atom_site_fract_z
La1 La 0.0000 0.0000 0.0000
Al1 Al 0.0000 0.1833 0.6509
Al2 Al 0.0000 0.1942 0.3587
Al3 Al 0.0000 0.5000 0.0026
Pt1 Pt 0.0000 0.5000 0.2444
Au1 Au 0.0000 0.5000 0.7545
```


10.
# RbLaAlAu

An optimized crystal structure of RbLaAlAu (PBE, OQMD via LeMat-Bulk).

excess energy over the best structure of this formula in the dataset = 0 meV per atom

```
data_RbLaAlAu
_cell_length_a 7.4219
_cell_length_b 7.4219
_cell_length_c 7.4219
_cell_angle_alpha 90.00
_cell_angle_beta 90.00
_cell_angle_gamma 90.00
_space_group_name_H-M_alt 'F -4 3 m'
_space_group_IT_number 216
_space_group_name_Hall 'F -4 2 3'
loop_
_atom_site_label
_atom_site_type_symbol
_atom_site_fract_x
_atom_site_fract_y
_atom_site_fract_z
Rb1 Rb 0.0000 0.0000 0.0000
La1 La 0.2500 0.2500 0.2500
Al1 Al 0.2500 0.2500 0.7500
Au1 Au 0.0000 0.0000 0.5000
```


11.
# LaAl4SiAu2

An optimized crystal structure of LaAl4SiAu2 (PBE, OQMD via LeMat-Bulk).

energy = -0.1687 Ha/atom

```
data_LaAl4SiAu2
_cell_length_a 6.1442
_cell_length_b 6.1442
_cell_length_c 8.2533
_cell_angle_alpha 90.00
_cell_angle_beta 90.00
_cell_angle_gamma 90.00
_space_group_name_H-M_alt 'P 4/n m m'
_space_group_IT_number 129
loop_
_space_group_symop_operation_xyz
'x,y,z'
'-x,-y,-z'
'-y+1/2,x,z'
'y+1/2,-x,-z'
'-x+1/2,-y+1/2,z'
'x+1/2,y+1/2,-z'
'y,-x+1/2,z'
'-y,x+1/2,-z'
'x+1/2,-y,-z'
'-x+1/2,y,z'
'-y,-x,-z'
'y,x,z'
'-x,y+1/2,-z'
'x,-y+1/2,z'
'y+1/2,x+1/2,-z'
'-y+1/2,-x+1/2,z'
loop_
_atom_site_label
_atom_site_type_symbol
_atom_site_fract_x
_atom_site_fract_y
_atom_site_fract_z
La1 La 0.2500 0.7500 0.0000
Al1 Al 0.0003 0.0003 0.3224
Si1 Si 0.2500 0.2500 0.1491
Au1 Au 0.2500 0.2500 0.8481
Au2 Au 0.2500 0.7500 0.5000
```


12.
# LiAlAu2

An optimized crystal structure of LiAlAu2 (PBE, OQMD via LeMat-Bulk).

energy = -0.1289 Ha/atom

```
data_LiAlAu2
_cell_length_a 4.3718
_cell_length_b 4.3718
_cell_length_c 8.5396
_cell_angle_alpha 90.00
_cell_angle_beta 90.00
_cell_angle_gamma 120.00
_space_group_name_H-M_alt 'P 63/m m c'
_space_group_IT_number 194
_space_group_name_Hall '-P 6c 2c'
loop_
_atom_site_label
_atom_site_type_symbol
_atom_site_fract_x
_atom_site_fract_y
_atom_site_fract_z
Li1 Li 0.3333 0.6667 0.2500
Al1 Al 0.0000 0.0000 0.0000
Au1 Au 0.3333 0.6667 0.5873
```